No. 1
# ZrTaTe | Alexandria | PBEsol | optimized geometry
data_ZrTaTe
_space_group_name_H-M_alt 'F -4 3 m'
_space_group_IT_number 216
_space_group_name_Hall 'F -4 2 3'
_cell_length_a 6.6164
_cell_length_b 6.6164
_cell_length_c 6.6164
_cell_angle_alpha 90.00
_cell_angle_beta 90.00
_cell_angle_gamma 90.00
loop_
_atom_site_label
_atom_site_fract_x
_atom_site_fract_y
_atom_site_fract_z
_atom_site_occupancy
Zr1 0.0000 0.0000 0.0000 1
Ta1 0.2500 0.2500 0.2500 1
Te1 0.2500 0.2500 0.7500 1
# E, eV/atom: -7.6604
# Theoretical density, Mg/m³: 9.17
# Formation energy from raw total energies, eV/atom: 0.73
# Offset from the most stable computed form, meV per atom: 855

No. 2
# ZrTa2Te | Alexandria | PBEsol | optimized geometry
data_ZrTa2Te
_space_group_name_H-M_alt 'C 1 2/m 1'
_space_group_IT_number 12
_cell_length_a 5.8387
_cell_length_b 10.0028
_cell_length_c 3.2115
_cell_angle_alpha 90.00
_cell_angle_beta 122.61
_cell_angle_gamma 90.00
loop_
_space_group_symop_operation_xyz
'x,y,z'
'-x,-y,-z'
'-x,y,-z'
'x,-y,z'
'x+1/2,y+1/2,z'
'-x+1/2,-y+1/2,-z'
'-x+1/2,y+1/2,-z'
'x+1/2,-y+1/2,z'
loop_
_atom_site_label
_atom_site_fract_x
_atom_site_fract_y
_atom_site_fract_z
_atom_site_occupancy
Zr1 0.0000 0.0000 0.0000 1
Ta1 0.2500 0.2500 0.5000 1
Te1 0.0000 0.5000 0.0000 1
# E, eV/atom: -9.3164
# Theoretical density, Mg/m³: 12.21
# Formation energy from raw total energies, eV/atom: 0.11

No. 3
# ZrTa2Te | Alexandria | PBEsol | optimized geometry
data_ZrTa2Te
_space_group_name_H-M_alt 'P 1 m 1'
_space_group_IT_number 6
_cell_length_a 3.3379
_cell_length_b 4.5974
_cell_length_c 5.4251
_cell_angle_alpha 90.00
_cell_angle_beta 107.71
_cell_angle_gamma 90.00
loop_
_space_group_symop_operation_xyz
'x,y,z'
'x,-y,z'
loop_
_atom_site_label
_atom_site_fract_x
_atom_site_fract_y
_atom_site_fract_z
_atom_site_occupancy
Zr1 0.0000 0.0000 0.0000 1
Ta1 0.2601 0.0000 0.5172 1
Ta2 0.7148 0.5000 0.4248 1
Te1 0.4360 0.5000 0.8711 1
# E, eV/atom: -9.4664
# Theoretical density, Mg/m³: 12.16
# Formation energy from raw total energies, eV/atom: -0.04

No. 4
# ZrTaTe | Alexandria | PBEsol | optimized geometry
data_ZrTaTe
_space_group_name_H-M_alt 'P 3 m 1'
_space_group_IT_number 156
_cell_length_a 3.4740
_cell_length_b 3.4740
_cell_length_c 6.2803
_cell_angle_alpha 90.00
_cell_angle_beta 90.00
_cell_angle_gamma 120.00
loop_
_space_group_symop_operation_xyz
'x,y,z'
'-y,x-y,z'
'-x+y,-x,z'
'-y,-x,z'
'-x+y,y,z'
'x,x-y,z'
loop_
_atom_site_label
_atom_site_fract_x
_atom_site_fract_y
_atom_site_fract_z
_atom_site_occupancy
Zr1 0.0000 0.0000 0.0000 1
Ta1 0.3333 0.6667 0.6723 1
Te1 0.6667 0.3333 0.3543 1
# E, eV/atom: -8.4228
# Theoretical density, Mg/m³: 10.11
# Formation energy from raw total energies, eV/atom: -0.03
# Offset from the most stable computed form, meV per atom: 93

No. 5
# ZrTaTe | Alexandria | PBEsol | optimized geometry
data_ZrTaTe
_space_group_name_H-M_alt 'I 4 m m'
_space_group_IT_number 107
_space_group_name_Hall 'I 4 -2'
_cell_length_a 3.6027
_cell_length_b 3.6027
_cell_length_c 9.3333
_cell_angle_alpha 90.00
_cell_angle_beta 90.00
_cell_angle_gamma 90.00
loop_
_atom_site_label
_atom_site_fract_x
_atom_site_fract_y
_atom_site_fract_z
_atom_site_occupancy
Zr1 0.0000 0.0000 0.0000 1
Ta1 0.0000 0.0000 0.6665 1
Te1 0.0000 0.0000 0.3242 1
# E, eV/atom: -8.5153
# Theoretical density, Mg/m³: 10.96
# Formation energy from raw total energies, eV/atom: -0.13
# Offset from the most stable computed form, meV per atom: 0

No. 6
# TaTi3 | Alexandria | PBEsol | optimized geometry
data_TaTi3
_space_group_name_H-M_alt 'I 4/m m m'
_space_group_IT_number 139
_space_group_name_Hall '-I 4 2'
_cell_length_a 3.9826
_cell_length_b 3.9826
_cell_length_c 8.5053
_cell_angle_alpha 90.00
_cell_angle_beta 90.00
_cell_angle_gamma 90.00
loop_
_atom_site_label
_atom_site_fract_x
_atom_site_fract_y
_atom_site_fract_z
_atom_site_occupancy
Ta1 0.0000 0.0000 0.0000 1
Ti1 0.0000 0.0000 0.5000 1
Ti2 0.0000 0.5000 0.2500 1
# E, eV/atom: -9.2745
# Theoretical density, Mg/m³: 7.99
# ΔE_f, meV per atom: 105